1.
! TmAlS, optimized geometry, DFT PBE; values from VASP
! - total magnetization (Bohr magnetons per cell) = 0.00
! - formation energy without anion corrections (eV/atom) = -1.03
! - mass density (Mg/m³) = 5.52
&SYSTEM
  ibrav = 0, nat = 6, ntyp = 3
/
ATOMIC_SPECIES
Tm 168.93 Tm.upf
Al 26.98 Al.upf
S 32.06 S.upf
CELL_PARAMETERS angstrom
2.185 1.262 8.293
-2.185 1.262 8.293
0.000 -2.524 8.293
ATOMIC_POSITIONS angstrom
Tm 0.000 0.000 2.293
Tm 0.000 0.000 22.588
Al 0.000 0.000 8.361
Al 0.000 0.000 16.519
S 0.000 0.000 5.152
S 0.000 0.000 19.729



2.
! Tm2AlS5, optimized geometry, DFT PBE; values from VASP
! - total magnetization (Bohr magnetons per cell) = 0.88
! - formation energy without anion corrections (eV/atom) = -1.42
! - mass density (Mg/m³) = 4.44
&SYSTEM
  ibrav = 0, nat = 16, ntyp = 3
/
ATOMIC_SPECIES
Tm 168.93 Tm.upf
Al 26.98 Al.upf
S 32.06 S.upf
CELL_PARAMETERS angstrom
2.621 -6.500 0.000
2.621 6.500 0.000
0.000 0.000 11.530
ATOMIC_POSITIONS angstrom
Tm 2.621 4.483 6.540
Tm 2.621 4.483 10.756
Tm 2.621 -4.483 0.775
Tm 2.621 -4.483 4.991
Al 2.621 3.995 2.883
Al 2.621 -3.995 8.648
S 2.621 5.984 1.493
S 2.621 5.984 4.272
S 2.621 2.838 8.648
S 2.621 2.498 1.066
S 2.621 2.498 4.699
S 2.621 -2.498 6.831
S 2.621 -2.498 10.464
S 2.621 -2.838 2.883
S 2.621 -5.984 7.258
S 2.621 -5.984 10.037



Question: total magnetization of number 2 (Tm2AlS5)?
Answer: 0.88 Bohr magnetons per cell



Question: Which of these has the highest mass density?
Answer: TmAlS



Repeat the second record exactly.
! Tm2AlS5, optimized geometry, DFT PBE; values from VASP
! - total magnetization (Bohr magnetons per cell) = 0.88
! - formation energy without anion corrections (eV/atom) = -1.42
! - mass density (Mg/m³) = 4.44
&SYSTEM
  ibrav = 0, nat = 16, ntyp = 3
/
ATOMIC_SPECIES
Tm 168.93 Tm.upf
Al 26.98 Al.upf
S 32.06 S.upf
CELL_PARAMETERS angstrom
2.621 -6.500 0.000
2.621 6.500 0.000
0.000 0.000 11.530
ATOMIC_POSITIONS angstrom
Tm 2.621 4.483 6.540
Tm 2.621 4.483 10.756
Tm 2.621 -4.483 0.775
Tm 2.621 -4.483 4.991
Al 2.621 3.995 2.883
Al 2.621 -3.995 8.648
S 2.621 5.984 1.493
S 2.621 5.984 4.272
S 2.621 2.838 8.648
S 2.621 2.498 1.066
S 2.621 2.498 4.699
S 2.621 -2.498 6.831
S 2.621 -2.498 10.464
S 2.621 -2.838 2.883
S 2.621 -5.984 7.258
S 2.621 -5.984 10.037



Question: Which of these has the highest formation energy without anion corrections?
Answer: TmAlS